No. 1
DFT (PBE) results for an optimized crystal structure of Tm12HgRh6.

Cell: 8.415 8.415 8.415 Å, 109.47 109.47 109.47°
Element x y z (fractional)
Tm  0.298  0.109  0.811
Tm  0.298  0.487  0.189
Tm  0.702  0.513  0.811
Tm  0.702  0.891  0.189
Tm  0.109  0.811  0.298
Tm  0.487  0.189  0.298
Tm  0.513  0.811  0.702
Tm  0.891  0.189  0.702
Tm  0.811  0.298  0.109
Tm  0.189  0.298  0.487
Tm  0.811  0.702  0.513
Tm  0.189  0.702  0.891
Hg  0.000  0.000  0.000
Rh  0.368  0.500  0.868
Rh  0.632  0.500  0.132
Rh  0.500  0.868  0.368
Rh  0.500  0.132  0.632
Rh  0.868  0.368  0.500
Rh  0.132  0.632  0.500

SG: Im-3 (204)
formation energy from the elements: -0.6217 eV/atom
density of states at the Fermi level: 19.7 states/eV/f.u.



No. 2
DFT (PBE) results for an optimized crystal structure of NaYSc2Co.

Cell: 4.967 4.967 5.289 Å, 90.00 90.00 90.00°
Element x y z (fractional)
Y  0.000  0.000  0.500
Sc  0.000  0.500  0.000
Sc  0.500  0.000  0.000
Co  0.000  0.000  0.000
Na  0.500  0.500  0.500

SG: P4/mmm (123)
formation energy from the elements: 0.0363 eV/atom
density of states at the Fermi level: 3.4 states/eV/f.u.



No. 3
DFT (PBE) results for an optimized crystal structure of Pu3Ag5O12.

Cell: 11.231 11.231 11.231 Å, 109.47 109.47 109.47°
Last column: magnetic moment on the atom in μB.
Element x y z (fractional)
Pu  0.750  0.375  0.125  3.69
Pu  0.875  0.750  0.125  3.69
Pu  0.375  0.750  0.625  3.69
Pu  0.250  0.125  0.375  3.69
Pu  0.875  0.125  0.250  3.69
Pu  0.375  0.625  0.250  3.69
Pu  0.625  0.375  0.750  3.69
Pu  0.125  0.875  0.750  3.69
Pu  0.750  0.875  0.625  3.69
Pu  0.625  0.250  0.375  3.69
Pu  0.125  0.250  0.875  3.69
Pu  0.250  0.625  0.875  3.69
Ag  0.125  0.375  0.250  -0.16
Ag  0.000  0.500  0.000  -0.26
Ag  0.000  0.000  0.000  -0.26
Ag  0.375  0.250  0.125  -0.16
Ag  0.500  0.000  0.500  -0.26
Ag  0.500  0.500  0.000  -0.26
Ag  0.125  0.750  0.375  -0.16
Ag  0.750  0.125  0.875  -0.16
Ag  0.750  0.625  0.375  -0.16
Ag  0.375  0.125  0.750  -0.16
Ag  0.625  0.875  0.250  -0.16
Ag  0.500  0.500  0.500  -0.26
Ag  0.500  0.000  0.000  -0.26
Ag  0.000  0.000  0.500  -0.26
Ag  0.250  0.375  0.625  -0.16
Ag  0.250  0.875  0.125  -0.16
Ag  0.000  0.500  0.500  -0.26
Ag  0.875  0.250  0.625  -0.16
Ag  0.625  0.750  0.875  -0.16
Ag  0.875  0.625  0.750  -0.16
O  0.732  0.134  0.065  -0.24
O  0.334  0.565  0.431  -0.24
O  0.935  0.366  0.268  -0.24
O  0.565  0.232  0.134  -0.24
O  0.598  0.732  0.666  -0.24
O  0.935  0.569  0.166  -0.24
O  0.334  0.768  0.402  -0.24
O  0.069  0.902  0.134  -0.24
O  0.569  0.935  0.666  -0.24
O  0.732  0.598  0.166  -0.24
O  0.768  0.435  0.366  -0.24
O  0.834  0.931  0.065  -0.24
O  0.134  0.732  0.565  -0.24
O  0.366  0.431  0.098  -0.24
O  0.098  0.931  0.366  -0.24
O  0.402  0.134  0.569  -0.24
O  0.098  0.166  0.232  -0.24
O  0.435  0.666  0.069  -0.24
O  0.834  0.902  0.268  -0.24
O  0.134  0.402  0.069  -0.24
O  0.366  0.935  0.768  -0.24
O  0.569  0.634  0.402  -0.24
O  0.931  0.834  0.565  -0.24
O  0.768  0.334  0.902  -0.24
O  0.431  0.366  0.598  -0.24
O  0.069  0.166  0.435  -0.24
O  0.232  0.666  0.098  -0.24
O  0.166  0.098  0.732  -0.24
O  0.634  0.065  0.232  -0.24
O  0.866  0.598  0.931  -0.24
O  0.565  0.334  0.931  -0.24
O  0.598  0.866  0.431  -0.24
O  0.902  0.834  0.768  -0.24
O  0.902  0.069  0.634  -0.24
O  0.866  0.268  0.435  -0.24
O  0.166  0.069  0.935  -0.24
O  0.634  0.569  0.902  -0.24
O  0.431  0.065  0.334  -0.24
O  0.268  0.402  0.834  -0.24
O  0.232  0.565  0.634  -0.24
O  0.931  0.098  0.866  -0.24
O  0.666  0.232  0.598  -0.24
O  0.435  0.768  0.866  -0.24
O  0.065  0.431  0.834  -0.24
O  0.402  0.268  0.334  -0.24
O  0.065  0.634  0.732  -0.24
O  0.666  0.435  0.569  -0.24
O  0.268  0.866  0.935  -0.24

SG: Ia-3d (230)
density of states at the Fermi level: 21.5 states/eV/f.u.
formation energy without anion corrections: -1.215 eV/atom



No. 4
DFT (PBE) results for an optimized crystal structure of YMoHN2.

Cell: 3.882 5.792 3.882 Å, 90.00 90.00 90.00°
Element x y z (fractional)
Y  0.000  0.500  0.000
H  0.500  0.500  0.500
Mo  0.000  0.000  0.000
N  0.000  0.000  0.500
N  0.500  0.000  0.000

SG: P4/mmm (123)
density of states at the Fermi level: 3.8 states/eV/f.u.



No. 5
DFT (PBE) results for an optimized crystal structure of Lu2InHg.

Cell: 3.624 3.624 9.581 Å, 79.10 79.10 60.00°
Element x y z (fractional)
Lu  0.252  0.252  0.244
Lu  0.748  0.748  0.756
Hg  0.000  0.000  0.000
In  0.500  0.500  0.500

SG: R-3m (166)
formation energy from the elements: -0.3288 eV/atom
density of states at the Fermi level: 3.0 states/eV/f.u.



No. 6
DFT (PBE) results for an optimized crystal structure of Pa6Tc5Ge.

Cell: 7.018 6.895 6.612 Å, 58.57 81.54 73.61°
Element x y z (fractional)
Pa  0.728  0.091  0.347
Pa  0.272  0.562  0.347
Pa  0.228  0.284  0.000
Pa  0.772  0.716  0.000
Pa  0.728  0.438  0.653
Pa  0.272  0.909  0.653
Tc  0.500  0.135  0.731
Tc  0.000  0.320  0.360
Tc  0.500  0.500  0.000
Tc  0.000  0.680  0.640
Tc  0.500  0.865  0.269
Ge  0.000  0.000  0.000

SG: C2/m (12)
formation energy from the elements: -0.1296 eV/atom
density of states at the Fermi level: 11.3 states/eV/f.u.



Number 1: DFT total energy -5.783 eV per atom. Number 2: DFT total energy -5.474 eV per atom. Number 3: DFT total energy -7.053 eV per atom. Number 4: DFT total energy -6.971 eV per atom. Number 5: DFT total energy -3.349 eV per atom. Number 6: DFT total energy -9.581 eV per atom.